## a
Material: Mg2CdNi2
Method: DFT, GGA-PBE
State: optimized geometry

Geometry as POSCAR:
```
Mg2CdNi2
1.0
3.3260 0.0000 0.0000
0.0000 3.3260 0.0000
0.0000 0.0000 16.2071
Mg Cd Ni
4 2 4
direct
0.0000 0.0000 0.1225
0.0000 0.0000 0.8775
0.5000 0.5000 0.3775
0.5000 0.5000 0.6225
0.0000 0.0000 0.5000
0.5000 0.5000 0.0000
0.0000 0.5000 0.2500
0.0000 0.5000 0.7500
0.5000 0.0000 0.2500
0.5000 0.0000 0.7500
```

***

## b
Material: Mg2CdNi2
Method: DFT, GGA-PBE
State: optimized geometry

Geometry as POSCAR:
```
Mg2CdNi2
1.0
6.7254 0.0000 0.0000
0.0000 6.7254 0.0000
0.0000 0.0000 3.6522
Mg Cd Ni
4 2 4
direct
0.1661 0.3339 0.0000
0.3339 0.8339 0.0000
0.6661 0.1661 0.0000
0.8339 0.6661 0.0000
0.0000 0.0000 0.5000
0.5000 0.5000 0.5000
0.1253 0.6253 0.5000
0.3747 0.1253 0.5000
0.6253 0.8747 0.5000
0.8747 0.3747 0.5000
```

***

## c
Material: Mg2CdNi2
Method: DFT, GGA-PBE
State: optimized geometry

Geometry as POSCAR:
```
Mg2CdNi2
1.0
3.9459 0.0000 0.0000
0.0000 3.9459 0.0000
0.0000 0.0000 11.2211
Mg Cd Ni
4 2 4
direct
0.0000 0.5000 0.2500
0.0000 0.5000 0.7500
0.5000 0.0000 0.2500
0.5000 0.0000 0.7500
0.0000 0.0000 0.0000
0.5000 0.5000 0.5000
0.0000 0.0000 0.3996
0.0000 0.0000 0.6004
0.5000 0.5000 0.1004
0.5000 0.5000 0.8996
```

***

## d
Material: Mg2CdNi2
Method: DFT, GGA-PBE
State: optimized geometry

Geometry as POSCAR:
```
Mg2CdNi2
1.0
7.4635 0.0000 0.0000
0.0000 7.4635 0.0000
0.0000 0.0000 2.8630
Mg Cd Ni
4 2 4
direct
0.1353 0.3647 0.0000
0.3647 0.8647 0.0000
0.6353 0.1353 0.0000
0.8647 0.6353 0.0000
0.0000 0.0000 0.0000
0.5000 0.5000 0.0000
0.1601 0.6601 0.5000
0.3399 0.1601 0.5000
0.6601 0.8399 0.5000
0.8399 0.3399 0.5000
```

***

Bottom line: b, by a margin of 102 meV per atom.

***

## a
Material: Mg6Cd3Ni
Method: DFT, GGA-PBE
State: optimized geometry

Geometry as POSCAR:
```
Mg6Cd3Ni
1.0
8.7506 0.0000 0.0000
0.0000 4.6737 0.0000
-1.9619 0.0000 9.8540
Mg Cd Ni
12 6 2
direct
0.0527 0.2500 0.4083
0.1781 0.7500 0.1895
0.2980 0.2500 0.0100
0.3655 0.2500 0.3090
0.3708 0.7500 0.8374
0.4343 0.2500 0.6254
0.5657 0.7500 0.3746
0.6292 0.2500 0.1626
0.6345 0.7500 0.6910
0.7020 0.7500 0.9900
0.8219 0.2500 0.8105
0.9473 0.7500 0.5917
0.0387 0.7500 0.8984
0.1390 0.2500 0.7197
0.2664 0.7500 0.4987
0.7336 0.2500 0.5013
0.8610 0.7500 0.2803
0.9613 0.2500 0.1016
0.4512 0.7500 0.1156
0.5488 0.2500 0.8844
```

***

## b
Material: Mg6Cd3Ni
Method: DFT, GGA-PBE
State: optimized geometry

Geometry as POSCAR:
```
Mg6Cd3Ni
1.0
5.1101 -2.9163 0.0000
5.1101 2.9163 0.0000
-2.4524 0.0000 7.1073
Mg Cd Ni
6 3 1
direct
0.1080 0.6222 0.6778
0.1593 0.1593 0.8813
0.3778 0.8920 0.3222
0.6222 0.1080 0.6778
0.8407 0.8407 0.1187
0.8920 0.3778 0.3222
0.3802 0.3802 0.3143
0.5000 0.5000 0.0000
0.6198 0.6198 0.6857
0.0000 0.0000 0.5000
```

***

Bottom line: a, by a margin of 94 meV per atom.

***

## a
Material: Mg8CdNi2
Method: DFT, GGA-PBE
State: optimized geometry

Geometry as POSCAR:
```
Mg8CdNi2
1.0
3.9641 -5.8510 0.0000
3.9641 5.8510 0.0000
-1.1657 0.0000 4.8303
Mg Cd Ni
8 1 2
direct
0.1118 0.1118 0.7977
0.1721 0.4376 0.4174
0.2464 0.7536 0.0000
0.4376 0.1721 0.4174
0.5624 0.8279 0.5826
0.7536 0.2464 0.0000
0.8279 0.5624 0.5826
0.8882 0.8882 0.2023
0.5000 0.5000 0.0000
0.1833 0.8167 0.5000
0.8167 0.1833 0.5000
```

***

## b
Material: Mg8CdNi2
Method: DFT, GGA-PBE
State: optimized geometry

Geometry as POSCAR:
```
Mg8CdNi2
1.0
4.7040 0.0000 0.0000
-0.2986 6.5286 0.0000
-2.1623 -3.2268 6.9659
Mg Cd Ni
8 1 2
direct
0.0000 0.0000 0.0000
0.0267 0.4855 0.0709
0.2248 0.3568 0.4320
0.3694 0.8800 0.6579
0.4532 0.5951 0.8948
0.6195 0.0811 0.2498
0.6548 0.6601 0.3182
0.9128 0.1510 0.6608
0.8446 0.5850 0.6600
0.1455 0.9177 0.3288
0.4745 0.2474 0.9850
```

***

Bottom line: a, by a margin of 17 meV per atom.

***

## a
Material: Mg5CdNi
Method: DFT, GGA-PBE
State: optimized geometry

Geometry as POSCAR:
```
Mg5CdNi
1.0
4.4260 0.0000 0.0000
0.0000 4.4260 0.0000
0.0000 0.0000 7.3564
Mg Cd Ni
5 1 1
direct
0.0000 0.0000 0.0000
0.0000 0.5000 0.3030
0.0000 0.5000 0.6970
0.5000 0.0000 0.3030
0.5000 0.0000 0.6970
0.5000 0.5000 0.0000
0.0000 0.0000 0.5000
```

***

## b
Material: Mg5CdNi
Method: DFT, GGA-PBE
State: optimized geometry

Geometry as POSCAR:
```
Mg5CdNi
1.0
5.9806 -3.7786 0.0000
5.9806 3.7786 0.0000
-5.1098 0.0000 8.0898
Mg Cd Ni
10 2 2
direct
0.0050 0.9950 0.7500
0.2229 0.2594 0.1571
0.2594 0.2229 0.6571
0.2858 0.6479 0.5369
0.3521 0.7142 0.9631
0.6479 0.2858 0.0369
0.7142 0.3521 0.4631
0.7406 0.7771 0.3429
0.7771 0.7406 0.8429
0.9950 0.0050 0.2500
0.3722 0.6278 0.2500
0.6278 0.3722 0.7500
0.0000 0.0000 0.0000
0.0000 0.0000 0.5000
```

***

Bottom line: a, by a margin of 250 meV per atom.

***

## a
Material: MgScCdNi
Method: DFT, GGA-PBE
State: optimized geometry

Geometry as POSCAR:
```
MgScCdNi
1.0
3.2152 0.0000 0.0000
0.0000 3.2152 0.0000
0.0000 0.0000 7.1261
Mg Sc Cd Ni
1 1 1 1
direct
0.0000 0.0000 0.0000
0.0000 0.0000 0.5798
0.5000 0.5000 0.2794
0.5000 0.5000 0.7789
```

***

## b
Material: MgScCdNi
Method: DFT, GGA-PBE
State: optimized geometry

Geometry as POSCAR:
```
MgScCdNi
1.0
6.6222 0.0000 0.0000
0.0000 6.6222 0.0000
0.0000 0.0000 6.6222
Mg Sc Cd Ni
4 4 4 4
direct
0.0000 0.0000 0.0000
0.0000 0.5000 0.5000
0.5000 0.0000 0.5000
0.5000 0.5000 0.0000
0.0000 0.0000 0.5000
0.0000 0.5000 0.0000
0.5000 0.0000 0.0000
0.5000 0.5000 0.5000
0.2500 0.2500 0.7500
0.2500 0.7500 0.2500
0.7500 0.2500 0.2500
0.7500 0.7500 0.7500
0.2500 0.2500 0.2500
0.2500 0.7500 0.7500
0.7500 0.2500 0.7500
0.7500 0.7500 0.2500
```

***

Bottom line: a, by a margin of 83 meV per atom.

***

## a
Material: Mg2CdO
Method: DFT, GGA-PBE
State: optimized geometry

Geometry as POSCAR:
```
Mg2CdO
1.0
6.5616 0.0000 0.0000
0.0000 6.5616 0.0000
0.0000 0.0000 6.5616
Mg Cd O
8 4 4
direct
0.2500 0.2500 0.2500
0.2500 0.2500 0.7500
0.2500 0.7500 0.2500
0.2500 0.7500 0.7500
0.7500 0.2500 0.2500
0.7500 0.2500 0.7500
0.7500 0.7500 0.2500
0.7500 0.7500 0.7500
0.0000 0.0000 0.0000
0.0000 0.5000 0.5000
0.5000 0.0000 0.5000
0.5000 0.5000 0.0000
0.0000 0.0000 0.5000
0.0000 0.5000 0.0000
0.5000 0.0000 0.0000
0.5000 0.5000 0.5000
```

***

## b
Material: Mg2CdO
Method: DFT, GGA-PBE
State: optimized geometry

Geometry as POSCAR:
```
Mg2CdO
1.0
6.0863 0.0000 0.0000
0.0000 6.0863 0.0000
0.0000 0.0000 8.1565
Mg Cd O
8 4 4
direct
0.1207 0.7500 0.1250
0.2500 0.1207 0.8750
0.2500 0.3793 0.3750
0.3793 0.7500 0.6250
0.6207 0.2500 0.6250
0.7500 0.6207 0.3750
0.7500 0.8793 0.8750
0.8793 0.2500 0.1250
0.0000 0.0000 0.5000
0.0000 0.5000 0.7500
0.5000 0.0000 0.2500
0.5000 0.5000 0.0000
0.0000 0.0000 0.0000
0.0000 0.5000 0.2500
0.5000 0.0000 0.7500
0.5000 0.5000 0.5000
```

***

Bottom line: b, by a margin of 992 meV per atom.

***

## a
Material: MgCd2O3
Method: DFT, GGA-PBE
State: optimized geometry

Geometry as POSCAR:
```
MgCd2O3
1.0
3.0303 -5.3003 0.0000
3.0303 5.3003 0.0000
-1.9242 0.0000 5.7041
Mg Cd O
2 4 6
direct
0.0796 0.9204 0.5000
0.9204 0.0796 0.0000
0.2416 0.7549 0.0019
0.4199 0.5878 0.5019
0.5878 0.4199 0.0019
0.7549 0.2416 0.5019
0.1183 0.6489 0.6115
0.2618 0.4325 0.1118
0.4325 0.2618 0.6118
0.6489 0.1183 0.1115
0.8246 0.9595 0.6484
0.9595 0.8246 0.1484
```

***

## b
Material: MgCd2O3
Method: DFT, GGA-PBE
State: optimized geometry

Geometry as POSCAR:
```
MgCd2O3
1.0
5.3331 -3.0744 0.0000
5.3331 3.0744 0.0000
0.0000 0.0000 5.5798
Mg Cd O
2 4 6
direct
0.1609 0.8391 0.5000
0.8391 0.1609 0.0000
0.1647 0.5099 0.0082
0.4901 0.8353 0.0082
0.5099 0.1647 0.5082
0.8353 0.4901 0.5082
0.1357 0.8643 0.1436
0.1677 0.5260 0.6034
0.4740 0.8323 0.6034
0.5260 0.1677 0.1034
0.8323 0.4740 0.1034
0.8643 0.1357 0.6436
```

***

Bottom line: b, by a margin of 19 meV per atom.

***

## a
Material: MgCdPO2
Method: DFT, GGA-PBE
State: optimized geometry

Geometry as POSCAR:
```
MgCdPO2
1.0
3.8829 0.0000 0.0000
0.0000 3.8829 0.0000
0.0000 0.0000 5.5306
Mg Cd P O
1 1 1 2
direct
0.0000 0.0000 0.0000
0.5000 0.5000 0.5000
0.0000 0.0000 0.5000
0.0000 0.5000 0.0000
0.5000 0.0000 0.0000
```

***

## b
Material: MgCdPO2
Method: DFT, GGA-PBE
State: optimized geometry

Geometry as POSCAR:
```
MgCdPO2
1.0
4.1319 0.0000 0.0000
0.0000 4.1319 0.0000
0.0000 0.0000 5.1581
Mg Cd P O
1 1 1 2
direct
0.0000 0.0000 0.0000
0.5000 0.5000 0.5000
0.5000 0.5000 0.0000
0.0000 0.5000 0.5000
0.5000 0.0000 0.5000
```

***

Bottom line: a, by a margin of 463 meV per atom.

***

## a
Material: Mg6CdSnO8
Method: DFT, GGA-PBE
State: optimized geometry

Geometry as POSCAR:
```
Mg6CdSnO8
1.0
4.5105 0.0000 0.0000
0.0000 4.5105 0.0000
0.0000 0.0000 9.0035
Mg Cd Sn O
6 1 1 8
direct
0.0000 0.0000 0.0000
0.0000 0.5000 0.2312
0.0000 0.5000 0.7688
0.5000 0.0000 0.2312
0.5000 0.0000 0.7688
0.5000 0.5000 0.0000
0.0000 0.0000 0.5000
0.5000 0.5000 0.5000
0.0000 0.0000 0.2302
0.0000 0.0000 0.7698
0.0000 0.5000 0.0000
0.0000 0.5000 0.5000
0.5000 0.0000 0.0000
0.5000 0.0000 0.5000
0.5000 0.5000 0.2259
0.5000 0.5000 0.7741
```

***

## b
Material: Mg6CdSnO8
Method: DFT, GGA-PBE
State: optimized geometry

Geometry as POSCAR:
```
Mg6CdSnO8
1.0
4.5190 0.0000 0.0000
0.0000 4.5190 0.0000
0.0000 0.0000 9.0333
Mg Cd Sn O
6 1 1 8
direct
0.0000 0.0000 0.0000
0.0000 0.0000 0.5000
0.0000 0.5000 0.2420
0.0000 0.5000 0.7580
0.5000 0.0000 0.2420
0.5000 0.0000 0.7580
0.5000 0.5000 0.0000
0.5000 0.5000 0.5000
0.0000 0.0000 0.2491
0.0000 0.0000 0.7509
0.0000 0.5000 0.0000
0.0000 0.5000 0.5000
0.5000 0.0000 0.0000
0.5000 0.0000 0.5000
0.5000 0.5000 0.2476
0.5000 0.5000 0.7524
```

***

Bottom line: a, by a margin of 45 meV per atom.

***

## a
Material: MgCd4Tc4O12
Method: DFT, GGA-PBE
State: optimized geometry

Geometry as POSCAR:
```
MgCd4Tc4O12
1.0
5.5715 0.0000 0.0000
0.0000 7.9854 0.0000
-0.1531 0.0000 5.7010
Mg Cd Tc O
1 4 4 12
direct
0.0000 0.0000 0.0000
0.3245 0.5000 0.7038
0.4270 0.0000 0.7488
0.6831 0.0000 0.3132
0.8144 0.5000 0.2017
0.3423 0.2589 0.2143
0.3423 0.7411 0.2143
0.8627 0.2629 0.7024
0.8627 0.7371 0.7024
0.0509 0.3158 0.4070
0.0509 0.6842 0.4070
0.1717 0.2069 0.8963
0.1717 0.7931 0.8963
0.2594 0.0000 0.2814
0.4046 0.5000 0.1134
0.5418 0.2894 0.5232
0.5418 0.7106 0.5232
0.6737 0.1933 0.0167
0.6737 0.8067 0.0167
0.8461 0.0000 0.6552
0.8945 0.5000 0.8080
```

***

## b
Material: MgCd4Tc4O12
Method: DFT, GGA-PBE
State: optimized geometry

Geometry as POSCAR:
```
MgCd4Tc4O12
1.0
5.5535 0.0000 0.0000
-0.0189 5.7316 0.0000
-0.0712 -0.6609 7.9891
Mg Cd Tc O
1 4 4 12
direct
0.0000 0.0000 0.0000
0.3702 0.3796 0.6173
0.4185 0.2883 0.1100
0.8675 0.6925 0.1907
0.8988 0.8825 0.6169
0.3816 0.8195 0.3763
0.4039 0.8390 0.8650
0.8826 0.3740 0.8579
0.8864 0.3004 0.3818
0.0040 0.3230 0.1252
0.0710 0.6747 0.8305
0.0890 0.6096 0.4368
0.1755 0.1050 0.4435
0.1858 0.1466 0.8155
0.2715 0.8680 0.1253
0.4962 0.7878 0.6192
0.5761 0.5007 0.3275
0.5943 0.5667 0.9356
0.6826 0.0709 0.9137
0.6858 0.0053 0.3194
0.7737 0.3059 0.6207
```

***

Bottom line: b, by a margin of 18 meV per atom.